Entry from Alexandria via LeMat-Bulk: a relaxed structure of WAuF2 (PBE+U).

extended XYZ file:
```
8
Lattice="-0.068 -4.252 -1.908 3.820 -1.144 2.413 -2.106 -4.978 5.476" Properties=species:S:1:pos:R:3 pbc="T T T"
Au 0.000 0.000 0.000
Au -0.149 -5.964 1.911
W 1.876 -2.698 0.252
W 1.795 -4.410 4.071
F -0.078 -3.167 0.872
F 1.838 -3.368 2.245
F 0.616 -5.993 4.795
F 0.915 -8.218 4.051
```

Properties
magnetic moment	5.77	μB per cell
raw total energy	-4.24	eV/atom
theoretical density	9.2	g/cm³